The following is a GGA-PBE calculation of crystalline Tb2Ho2Ag at its relaxed geometry, from Alexandria.

Cell: 3.545 3.545 11.668 Å, 98.74 98.74 90.00°
Element x y z (fractional)
Tb (0.805, 0.805, 0.610)
Tb (0.195, 0.195, 0.390)
Ho (0.583, 0.583, 0.166)
Ho (0.417, 0.417, 0.834)
Ag (0.000, 0.000, 0.000)

Values from the calculation:
formation enthalpy at 0 K = -104 meV per atom
magnetic moment = 0.00 μB per cell
ΔE to the lowest computed polymorph = 0 meV/atom
calculated total energy = -21.8 eV for the cell shown